# 1
# ScCdPb4 PBE-GGA relaxed
data_ScCdPb4
_symmetry_space_group_name_H-M 'F -4 3 m'
_symmetry_Int_Tables_number 216
_symmetry_space_group_name_Hall 'F -4 2 3'
_cell_length_a 9.048
_cell_length_b 9.048
_cell_length_c 9.048
_cell_angle_alpha 90.00
_cell_angle_beta 90.00
_cell_angle_gamma 90.00
loop_
_atom_site_label
_atom_site_type_symbol
_atom_site_fract_x
_atom_site_fract_y
_atom_site_fract_z
_atom_site_occupancy
Sc1 Sc 0.000 0.000 0.000 1
Cd1 Cd 0.250 0.250 0.750 1
Pb1 Pb 0.126 0.126 0.374 1
# DFT total energy = -0.128 Ha/atom
# DFT formation energy = 0.20 eV/atom
# spin magnetization = 0.0 μB per formula unit

=====

# 2
# ScCd2Pb PBE-GGA relaxed
data_ScCd2Pb
_symmetry_space_group_name_H-M 'P 4/m m m'
_symmetry_Int_Tables_number 123
_symmetry_space_group_name_Hall '-P 4 2'
_cell_length_a 3.291
_cell_length_b 3.291
_cell_length_c 9.178
_cell_angle_alpha 90.00
_cell_angle_beta 90.00
_cell_angle_gamma 90.00
loop_
_atom_site_label
_atom_site_type_symbol
_atom_site_fract_x
_atom_site_fract_y
_atom_site_fract_z
_atom_site_occupancy
Sc1 Sc 0.000 0.000 0.000 1
Cd1 Cd 0.500 0.500 0.223 1
Pb1 Pb 0.000 0.000 0.500 1
# DFT total energy = -0.113 Ha/atom
# DFT formation energy = -0.12 eV/atom
# spin magnetization = 0.3 μB per formula unit

=====

# 3
# Sc2CdPb PBE-GGA relaxed
data_Sc2CdPb
_symmetry_space_group_name_H-M 'C m m m'
_symmetry_Int_Tables_number 65
_symmetry_space_group_name_Hall '-C 2 2'
_cell_length_a 6.517
_cell_length_b 8.519
_cell_length_c 3.329
_cell_angle_alpha 90.00
_cell_angle_beta 90.00
_cell_angle_gamma 90.00
loop_
_atom_site_label
_atom_site_type_symbol
_atom_site_fract_x
_atom_site_fract_y
_atom_site_fract_z
_atom_site_occupancy
Sc1 Sc 0.250 0.250 0.000 1
Cd1 Cd 0.000 0.000 0.500 1
Pb1 Pb 0.000 0.500 0.500 1
# DFT total energy = -0.170 Ha/atom
# DFT formation energy = -0.31 eV/atom
# spin magnetization = 0.8 μB per formula unit

=====

# 4
# ScCd2Pb PBE-GGA relaxed
data_ScCd2Pb
_symmetry_space_group_name_H-M 'I -4 2 d'
_symmetry_Int_Tables_number 122
_symmetry_space_group_name_Hall 'I -4 2bw'
_cell_length_a 8.345
_cell_length_b 8.345
_cell_length_c 5.986
_cell_angle_alpha 90.00
_cell_angle_beta 90.00
_cell_angle_gamma 90.00
loop_
_atom_site_label
_atom_site_type_symbol
_atom_site_fract_x
_atom_site_fract_y
_atom_site_fract_z
_atom_site_occupancy
Sc1 Sc 0.000 0.000 0.000 1
Cd1 Cd 0.249 0.250 0.625 1
Pb1 Pb 0.000 0.000 0.500 1
# DFT total energy = -0.108 Ha/atom
# DFT formation energy = 0.02 eV/atom
# spin magnetization = 0.0 μB per formula unit